Density functional theory data (PBE) for SrOs3S after structural relaxation.

Structure (POSCAR):
```
SrOs3S
1.0
-4.0507 1.1810 -2.7319
-2.7142 -3.3589 2.5724
-1.2212 3.5481 3.3445
Os Sr S
3 1 1
Cartesian
-2.0254 0.5905 -1.3660
-1.3571 -1.6795 1.2862
-0.6106 1.7741 1.6723
0.0000 0.0000 0.0000
-3.9930 0.6851 1.5925
```

Values from the calculation:
E_form (uncorrected) ... 3.9182 eV per atom
DFT total energy ... -3.9815 eV per atom
Distance to the lowest polymorph of the same formula ... 3094.5 meV per atom
Magnetic moment ... 6.86 Bohr magnetons per cell
SG ... Pm-3m, No. 221